# 1
An optimized crystal structure of KZnAg. Source: OQMD via LeMat-Bulk, functional PBE.

The structure in extended XYZ format:
```
3
Lattice="0.9874 0.5669 4.9963 -2.5162 3.5367 2.7238 -3.4766 -1.4400 3.4783" Properties=species:S:1:pos:R:3 pbc="T T T"
K -1.2514 0.6659 2.7996
Zn -3.7541 1.9977 8.3988
Ag 0.0000 0.0000 0.0000
```

Values from the calculation:
Energy above the most stable polymorph in this dataset: 0.0000 eV per atom
Crystal system: cubic

=====

# 2
An optimized crystal structure of Pr2NiGe6. Source: OQMD via LeMat-Bulk, functional PBE.

The structure in extended XYZ format:
```
9
Lattice="-0.4577 10.6045 4.0701 -0.1798 -11.3655 -0.1543 4.1346 -0.0744 0.6587" Properties=species:S:1:pos:R:3 pbc="T T T"
Ge -0.3014 -1.7507 1.6944
Ge -0.2394 -6.6565 0.7511
Ge -0.3982 5.8955 3.1647
Ge 1.6264 9.2332 4.1430
Ge -0.3361 0.9897 2.2214
Ge 1.8706 -10.0686 0.4316
Pr 1.7012 3.3242 3.0068
Pr 1.7958 -4.1595 1.5678
Ni 0.0000 0.0000 0.0000
```

Values from the calculation:
Energy: -5.25 eV per atom
Crystal system: orthorhombic

=====

# 3
An optimized crystal structure of SrTcB. Source: OQMD via LeMat-Bulk, functional PBE.

The structure in extended XYZ format:
```
3
Lattice="0.0000 3.0332 3.0332 3.0332 0.0000 3.0332 3.0332 3.0332 0.0000" Properties=species:S:1:pos:R:3 pbc="T T T"
Sr 1.5166 1.5166 1.5166
Tc 4.5498 4.5498 4.5498
B 0.0000 0.0000 0.0000
```

Values from the calculation:
Energy above the most stable polymorph in this dataset: 0.0000 eV per atom
Crystal system: cubic

=====

# 4
An optimized crystal structure of GdPuFe. Source: OQMD via LeMat-Bulk, functional PBE.

The structure in extended XYZ format:
```
3
Lattice="0.0000 3.1648 3.1648 3.1648 0.0000 3.1648 3.1648 3.1648 0.0000" Properties=species:S:1:pos:R:3 pbc="T T T"
Gd 1.5824 1.5824 1.5824
Fe 0.0000 0.0000 0.0000
Pu 4.7472 4.7472 4.7472
```

Values from the calculation:
Energy above the most stable polymorph in this dataset: 0.0000 eV per atom
Crystal system: cubic
Energy relative to the elements: 6.58 kcal/mol of atoms

=====

# 5
An optimized crystal structure of PrSm2Al2Cu4. Source: OQMD via LeMat-Bulk, functional PBE.

The structure in extended XYZ format:
```
9
Lattice="-3.1405 0.0343 4.6071 -0.9794 -3.5765 4.1641 6.8517 3.7136 3.1566" Properties=species:S:1:pos:R:3 pbc="T T T"
Al 0.2091 -0.3073 3.5244
Al 2.5227 0.4788 8.4033
Cu 5.1937 2.4623 5.2669
Cu 4.0204 2.0696 2.7438
Cu -2.4619 -2.2909 6.6608
Cu -1.2885 -1.8982 9.1839
Sm 2.7035 0.9744 5.2461
Sm 0.0284 -0.8029 6.6817
Pr 0.0000 0.0000 0.0000
```

Values from the calculation:
Energy: -4.38 eV per atom
Crystal system: monoclinic

=====

# 6
An optimized crystal structure of Tc2Pt2O5. Source: OQMD via LeMat-Bulk, functional PBE.

The structure in extended XYZ format:
```
9
Lattice="7.5254 0.0000 0.0000 0.0000 3.8134 0.0000 0.0000 0.0000 3.8134" Properties=species:S:1:pos:R:3 pbc="T T T"
Tc 1.7084 1.9067 1.9067
Tc 5.8170 1.9067 1.9067
O 5.7827 0.0000 1.9067
O 3.7627 1.9067 1.9067
O 1.7427 1.9067 0.0000
O 1.7427 0.0000 1.9067
O 5.7827 1.9067 0.0000
Pt 0.0000 0.0000 0.0000
Pt 3.7627 0.0000 0.0000
```

Values from the calculation:
Energy above the most stable polymorph in this dataset: 0.0000 eV per atom
Crystal system: tetragonal

=====

# 7
An optimized crystal structure of YHfMg. Source: OQMD via LeMat-Bulk, functional PBE.

The structure in extended XYZ format:
```
3
Lattice="0.0000 3.4997 3.4997 3.4997 0.0000 3.4997 3.4997 3.4997 0.0000" Properties=species:S:1:pos:R:3 pbc="T T T"
Mg 0.0000 0.0000 0.0000
Y 5.2496 5.2496 5.2496
Hf 1.7499 1.7499 1.7499
```

Values from the calculation:
Energy above the most stable polymorph in this dataset: 0.0000 eV per atom
Crystal system: cubic

=====

# 8
An optimized crystal structure of BaAgS2. Source: OQMD via LeMat-Bulk, functional PBE.

The structure in extended XYZ format:
```
8
Lattice="-3.9842 -0.7597 2.2395 2.2053 -2.8705 2.9497 1.8842 7.5101 5.8997" Properties=species:S:1:pos:R:3 pbc="T T T"
Ba 2.3858 3.6792 5.4926
Ba -1.3910 2.0158 3.0017
Ag 1.3014 -0.6433 2.0970
Ag -0.3066 6.3383 6.3973
S 0.0051 0.0205 0.0161
S 1.7904 1.3059 3.6282
S 0.9897 5.6745 8.4782
S -0.7956 4.3891 4.8661
```

Values from the calculation:
Energy: -4.24 eV per atom
Crystal system: orthorhombic

=====

# 9
An optimized crystal structure of CsOsPt. Source: OQMD via LeMat-Bulk, functional PBE.

The structure in extended XYZ format:
```
3
Lattice="0.0000 3.4404 3.4404 3.4404 0.0000 3.4404 3.4404 3.4404 0.0000" Properties=species:S:1:pos:R:3 pbc="T T T"
Pt 0.0000 0.0000 0.0000
Os 5.1606 5.1606 5.1606
Cs 1.7202 1.7202 1.7202
```

Values from the calculation:
Energy above the most stable polymorph in this dataset: 0.1510 eV per atom
Crystal system: cubic

=====

# 10
An optimized crystal structure of Nb4ZnCoN2. Source: OQMD via LeMat-Bulk, functional PBE.

The structure in extended XYZ format:
```
8
Lattice="-1.5939 -2.2573 1.4370 0.4505 -0.1295 -3.0791 11.1893 -6.6798 1.9179" Properties=species:S:1:pos:R:3 pbc="T T T"
Co 0.0000 0.0000 0.0000
Zn 4.6823 -4.8879 0.8906
N 2.4637 -2.4474 -1.1118
N 8.2637 -5.9099 -0.1177
Nb 0.7341 -2.5309 0.2138
Nb 3.7197 -2.2206 0.6376
Nb 7.4696 -4.4592 1.2804
Nb 8.6304 -7.2449 1.5673
```

Values from the calculation:
Energy: -8.65 eV per atom
Crystal system: hexagonal

=====

# 11
An optimized crystal structure of TaNiGeMo. Source: OQMD via LeMat-Bulk, functional PBE.

The structure in extended XYZ format:
```
4
Lattice="2.7375 -2.5941 2.2505 -1.4621 -3.7657 1.7232 1.2848 -3.8390 -1.7027" Properties=species:S:1:pos:R:3 pbc="T T T"
Ta 1.2801 -5.0994 1.1355
Ni 1.9202 -7.6491 1.7032
Ge 0.0000 0.0000 0.0000
Mo 0.6401 -2.5497 0.5677
```

Values from the calculation:
Energy above the most stable polymorph in this dataset: 0.0000 eV per atom
Crystal system: cubic

=====

# 12
An optimized crystal structure of TlZnW. Source: OQMD via LeMat-Bulk, functional PBE.

The structure in extended XYZ format:
```
3
Lattice="0.6890 2.9621 3.3799 -1.4998 4.2751 -0.3828 -3.5016 1.4159 2.5310" Properties=species:S:1:pos:R:3 pbc="T T T"
Tl 0.0000 0.0000 0.0000
Zn -3.2344 6.4899 4.1461
W -1.0781 2.1633 1.3820
```

Values from the calculation:
Energy above the most stable polymorph in this dataset: 0.2166 eV per atom
Crystal system: cubic

=====

# 13
An optimized crystal structure of DyTm2Sn3Ir2Pd. Source: OQMD via LeMat-Bulk, functional PBE.

The structure in extended XYZ format:
```
9
Lattice="-0.5458 -2.6924 2.6231 3.0999 4.5119 5.2761 -7.4855 0.2433 -1.3078" Properties=species:S:1:pos:R:3 pbc="T T T"
Ir -4.2407 0.3104 2.1864
Ir -0.6838 1.7447 4.3987
Tm 0.0649 4.6092 4.7444
Tm -6.2269 2.0720 0.8311
Sn -1.4482 -0.0719 2.3750
Sn -5.7499 -1.1651 0.3578
Sn 1.9911 1.9564 5.1725
Pd -0.0065 0.0071 0.0059
Dy -2.6075 2.8272 2.3593
```

Values from the calculation:
Energy: -6.25 eV per atom
Crystal system: orthorhombic

=====

# 14
An optimized crystal structure of Sr2Pd. Source: OQMD via LeMat-Bulk, functional PBE.

The structure in extended XYZ format:
```
6
Lattice="0.0000 4.6441 4.6441 4.6441 0.0000 4.6441 4.6441 4.6441 0.0000" Properties=species:S:1:pos:R:3 pbc="T T T"
Sr 5.8051 3.4831 3.4831
Sr 3.4831 3.4831 5.8051
Sr 5.8051 5.8051 5.8051
Sr 3.4831 5.8051 3.4831
Pd 2.3221 2.3221 2.3221
Pd 0.0000 0.0000 0.0000
```

Values from the calculation:
Energy: -2.22 eV per atom
Crystal system: cubic

=====

# 15
An optimized crystal structure of BePdSO. Source: OQMD via LeMat-Bulk, functional PBE.

The structure in extended XYZ format:
```
8
Lattice="3.1897 0.0000 0.0000 0.0000 3.1897 0.0000 0.0000 0.0000 10.8529" Properties=species:S:1:pos:R:3 pbc="T T T"
S 0.7974 0.7974 1.3001
S 2.3923 2.3923 9.5528
Be 2.3923 0.7974 0.0000
Be 0.7974 2.3923 0.0000
Pd 0.7974 0.7974 6.6526
Pd 2.3923 2.3923 4.2003
O 2.3923 2.3923 6.4880
O 0.7974 0.7974 4.3649
```

Values from the calculation:
Energy above the most stable polymorph in this dataset: 0.8515 eV per atom
Crystal system: tetragonal

=====

# 16
An optimized crystal structure of RbUPa. Source: OQMD via LeMat-Bulk, functional PBE.

The structure in extended XYZ format:
```
3
Lattice="0.0000 3.6595 3.6595 3.6595 0.0000 3.6595 3.6595 3.6595 0.0000" Properties=species:S:1:pos:R:3 pbc="T T T"
Pa 1.8297 1.8297 1.8297
U 0.0000 0.0000 0.0000
Rb 5.4892 5.4892 5.4892
```

Values from the calculation:
Energy above the most stable polymorph in this dataset: 0.0000 eV per atom
Crystal system: cubic

=====

# 17
An optimized crystal structure of Ho3SbSe2. Source: OQMD via LeMat-Bulk, functional PBE.

The structure in extended XYZ format:
```
6
Lattice="4.1690 0.0000 0.0000 -2.0845 3.6105 0.0000 0.0000 0.0000 10.1055" Properties=species:S:1:pos:R:3 pbc="T T T"
Se 0.0000 2.4070 6.6606
Se 2.0845 1.2035 3.4449
Ho 2.0845 1.2035 8.2809
Ho 0.0000 0.0000 5.0528
Ho 0.0000 2.4070 1.8247
Sb 0.0000 0.0000 0.0000
```

Values from the calculation:
Energy: -5.66 eV per atom
Crystal system: trigonal

=====

# 18
An optimized crystal structure of Y4FeSN2. Source: OQMD via LeMat-Bulk, functional PBE.

The structure in extended XYZ format:
```
8
Lattice="3.5355 0.0000 0.0000 -1.7677 3.0618 0.0000 0.0000 0.0000 13.2361" Properties=species:S:1:pos:R:3 pbc="T T T"
N 0.0000 2.0412 9.7286
N 0.0000 2.0412 3.5075
Y 1.7677 1.0206 11.2881
Y 0.0000 0.0000 8.5341
Y 1.7677 1.0206 1.9480
Y 0.0000 0.0000 4.7021
S 1.7677 1.0206 6.6181
Fe 0.0000 0.0000 0.0000
```

Values from the calculation:
Energy above the most stable polymorph in this dataset: 0.0000 eV per atom
Crystal system: hexagonal

=====

# 19
An optimized crystal structure of CsGaCu. Source: OQMD via LeMat-Bulk, functional PBE.

The structure in extended XYZ format:
```
3
Lattice="0.0000 3.7703 3.7703 3.7703 0.0000 3.7703 3.7703 3.7703 0.0000" Properties=species:S:1:pos:R:3 pbc="T T T"
Cs 1.8852 1.8852 1.8852
Ga 5.6555 5.6555 5.6555
Cu 0.0000 0.0000 0.0000
```

Values from the calculation:
Energy above the most stable polymorph in this dataset: 0.0000 eV per atom
Crystal system: cubic

=====

# 20
An optimized crystal structure of PaRe4P2. Source: OQMD via LeMat-Bulk, functional PBE.

The structure in extended XYZ format:
```
7
Lattice="2.0243 -6.7527 0.0000 2.0243 6.7527 0.0000 0.0000 0.0000 4.0364" Properties=species:S:1:pos:R:3 pbc="T T T"
Re 2.0243 4.3148 2.0182
Re 2.0243 2.5534 0.0000
Re 2.0243 -4.3148 2.0182
Re 2.0243 -2.5534 0.0000
Pa 0.0000 0.0000 0.0000
P 2.0243 1.1300 2.0182
P 2.0243 -1.1300 2.0182
```

Values from the calculation:
Energy: -10.53 eV per atom
Crystal system: orthorhombic

=====

# 21
An optimized crystal structure of Hf2ThPb2. Source: OQMD via LeMat-Bulk, functional PBE.

The structure in extended XYZ format:
```
5
Lattice="3.1279 -3.1279 0.0000 3.1279 3.1279 0.0000 -3.1279 0.0000 6.7609" Properties=species:S:1:pos:R:3 pbc="T T T"
Pb 0.0000 0.0000 5.3164
Pb 3.1279 0.0000 1.4446
Hf 1.5640 1.5640 3.3805
Hf 1.5640 -1.5640 3.3805
Th 0.0000 0.0000 0.0000
```

Values from the calculation:
Energy: -6.97 eV per atom
Crystal system: tetragonal

=====

# 22
An optimized crystal structure of LaNdCN2O2. Source: OQMD via LeMat-Bulk, functional PBE.

The structure in extended XYZ format:
```
7
Lattice="3.9307 0.0000 0.0000 -1.9654 3.4041 0.0000 0.0000 0.0000 8.3353" Properties=species:S:1:pos:R:3 pbc="T T T"
O 0.0000 2.2694 5.0081
O 1.9654 1.1347 3.2817
N 0.0000 0.0000 7.1089
N 0.0000 0.0000 1.2459
La 1.9654 1.1347 5.6944
Nd 0.0000 2.2694 2.6570
C 0.0000 0.0000 0.0098
```

Values from the calculation:
Energy: -8.61 eV per atom
Crystal system: trigonal

=====

# 23
An optimized crystal structure of CsDyCoS3. Source: OQMD via LeMat-Bulk, functional PBE.

The structure in extended XYZ format:
```
24
Lattice="10.4808 0.0000 0.0000 0.0000 3.9493 0.0000 0.0000 0.0000 15.4428" Properties=species:S:1:pos:R:3 pbc="T T T"
S 2.7463 2.9620 12.3334
S 4.6402 0.9873 9.8094
S 0.8203 0.9873 9.8473
S 9.8806 0.9873 13.3549
S 6.0607 0.9873 13.3169
S 7.7345 0.9873 3.1094
S 7.9867 2.9620 10.8309
S 9.6605 2.9620 5.5955
S 5.8406 2.9620 5.6335
S 4.4201 2.9620 2.1259
S 2.4941 0.9873 4.6120
S 0.6002 2.9620 2.0879
Dy 0.1193 2.9620 11.6002
Dy 10.3615 0.9873 3.8427
Dy 5.1211 0.9873 3.8787
Dy 5.3597 2.9620 11.5641
Co 2.7415 0.9873 11.0315
Co 2.4988 2.9620 3.3100
Co 7.9820 0.9873 12.1328
Co 7.7392 2.9620 4.4114
Cs 2.5883 0.9873 15.2535
Cs 7.8925 2.9620 0.1893
Cs 7.8287 0.9873 7.9107
Cs 2.6521 2.9620 7.5321
```

Values from the calculation:
Energy: -5.45 eV per atom
Crystal system: orthorhombic

=====

# 24
An optimized crystal structure of NpZn. Source: OQMD via LeMat-Bulk, functional PBE.

The structure in extended XYZ format:
```
8
Lattice="-0.6076 0.3576 4.7409 5.3763 -2.9656 0.9167 2.2317 4.0401 -0.0187" Properties=species:S:1:pos:R:3 pbc="T T T"
Np 3.5672 -1.9554 3.2552
Np 2.7909 -1.5384 0.6951
Np 3.7623 0.5667 1.8360
Np 4.5395 0.1493 4.3914
Zn 0.1269 -0.0694 0.1655
Zn 1.8267 1.6460 4.0038
Zn 1.0759 2.0489 1.4541
Zn 0.8774 -0.4721 2.7144
```

Values from the calculation:
Crystal system: monoclinic
Energy relative to the elements: 1.52 kcal/mol of atoms

=====

# 25
An optimized crystal structure of NaGePIr2. Source: OQMD via LeMat-Bulk, functional PBE.

The structure in extended XYZ format:
```
5
Lattice="3.3988 -3.2917 -3.4824 3.7632 -3.9174 2.2375 -5.6329 1.5817 0.5319" Properties=species:S:1:pos:R:3 pbc="T T T"
P 4.5162 -4.5459 -0.7850
Ir 0.8049 -2.9190 1.0823
Ir 0.6227 -2.6061 -1.7777
Na 0.0027 -0.0027 -0.0005
Ge 2.7447 -2.7627 -0.4771
```

Values from the calculation:
Energy: -6.30 eV per atom
Crystal system: tetragonal

=====

# 26
An optimized crystal structure of NaGdCdTe3. Source: OQMD via LeMat-Bulk, functional PBE.

The structure in extended XYZ format:
```
12
Lattice="-0.9249 -0.0445 10.1532 -2.0294 -4.1616 9.0834 8.9127 -2.0352 -1.3687" Properties=species:S:1:pos:R:3 pbc="T T T"
Gd 4.7556 -1.9524 2.6041
Gd 1.2028 -4.2889 15.2638
Te -1.4771 -2.1030 9.6183
Te 4.4563 -1.0176 -0.6843
Te 4.7703 -2.7187 5.5382
Te 5.4010 -4.5500 11.9347
Te 1.1881 -3.5225 12.3296
Te 0.5574 -1.6912 5.9331
Na 0.3352 -0.6855 2.2922
Na 5.6232 -5.5557 15.5756
Cd 4.8668 -3.7204 9.2936
Cd 1.0916 -2.5208 8.5742
```

Values from the calculation:
Energy above the most stable polymorph in this dataset: 0.0652 eV per atom
Crystal system: monoclinic